*a*
VASP calculation (GGA-PBE) on a relaxed YInNi3 crystal.

Summary:
**ρ**: 6.214 g/cm3
**Fermi-level density of states**: 0.94 states/eV/atom
**Space-group type**: Pm-3m, No. 221
**Volume**: 20.30 Å³/atom

```
YInNi3
1.0
4.6646 0.0000 0.0000
0.0000 4.6646 0.0000
0.0000 0.0000 4.6646
Y Ni In
1 3 1
Direct
0.5000 0.5000 0.5000
0.0000 0.5000 0.0000
0.0000 0.0000 0.5000
0.5000 0.0000 0.0000
0.0000 0.0000 0.0000
```



*b*
VASP calculation (GGA-PBE) on a relaxed YInNi3 crystal.

Summary:
**ρ**: 5.958 g/cm3
**Fermi-level density of states**: 0.77 states/eV/atom
**Space-group type**: Pm-3m, No. 221
**Volume**: 21.17 Å³/atom

```
YInNi3
1.0
-3.7380 1.3812 2.5488
-2.8835 -2.2003 -3.0365
0.2989 -3.9531 2.5807
Y Ni In
1 3 1
Direct
0.0000 0.0000 0.0000
0.0000 0.5000 0.0000
0.0000 0.0000 0.5000
0.5000 0.0000 0.0000
0.5000 0.5000 0.5000
```



Which one is most stable, and which one is least stable? *a* is the most stable of them, while *b* is the least stable.



*a*
VASP calculation (GGA-PBE) on a relaxed ZnInNi3 crystal.

Summary:
**ρ**: 7.228 g/cm3
**Fermi-level density of states**: 0.85 states/eV/atom
**Space-group type**: Pm-3m, No. 221
**Volume**: 16.37 Å³/atom

```
ZnInNi3
1.0
4.3419 0.0000 0.0000
0.0000 4.3419 0.0000
0.0000 0.0000 4.3419
Ni Zn In
3 1 1
Direct
0.0000 0.5000 0.0000
0.0000 0.0000 0.5000
0.5000 0.0000 0.0000
0.0000 0.0000 0.0000
0.5000 0.5000 0.5000
```



*b*
VASP calculation (GGA-PBE) on a relaxed ZnInNi3 crystal.

Summary:
**ρ**: 8.173 g/cm3
**Fermi-level density of states**: 0.69 states/eV/atom
**Space-group type**: P6_3/mmc, No. 194
**Volume**: 14.48 Å³/atom

```
ZnInNi3
1.0
-3.2216 -3.3244 1.2304
2.2478 -0.1570 5.4613
-4.3715 3.7595 -1.2883
Zn In Ni
2 2 6
Direct
0.0000 0.0000 0.0000
0.5000 0.0000 0.0000
0.2500 0.3335 0.6665
0.7500 0.6665 0.3335
0.2500 0.8010 0.1990
0.7500 0.1990 0.8010
0.2500 0.8010 0.6022
0.7500 0.1990 0.3978
0.2500 0.3978 0.1990
0.7500 0.6022 0.8010
```



Which one is most stable, and which one is least stable? *b* is the most stable of them, while *a* is the least stable.



*a*
VASP calculation (GGA-PBE) on a relaxed ZrIn2Ni2 crystal.

Summary:
**ρ**: 7.892 g/cm3
**Fermi-level density of states**: 1.16 states/eV/atom
**Space-group type**: I4/mmm, No. 139
**Volume**: 18.44 Å³/atom

```
ZrIn2Ni2
1.0
-3.2649 0.6221 -2.0607
-1.9214 -2.5301 2.2803
-4.0895 3.5424 3.8379
Ni Zr In
2 1 2
Direct
0.7500 0.2500 0.5000
0.2500 0.7500 0.5000
0.0000 0.0000 0.0000
0.3837 0.3837 0.2326
0.6163 0.6163 0.7674
```



*b*
VASP calculation (GGA-PBE) on a relaxed ZrIn2Ni2 crystal.

Summary:
**ρ**: 7.985 g/cm3
**Fermi-level density of states**: 0.96 states/eV/atom
**Space-group type**: I4/mmm, No. 139
**Volume**: 18.23 Å³/atom

```
ZrIn2Ni2
1.0
-2.0174 2.0174 5.5984
2.0174 -2.0174 5.5984
2.0174 2.0174 -5.5984
Zr In Ni
1 2 2
Direct
0.0000 0.0000 0.0000
0.2500 0.7500 0.5000
0.7500 0.2500 0.5000
0.5992 0.5992 0.0000
0.4008 0.4008 0.0000
```



Which one is most stable, and which one is least stable? *b* is the most stable of them, while *a* is the least stable.